Record 1
A geometry-optimized CrInN3 structure. Source: Alexandria, functional PBE.

abc: 3.776 3.776 3.776
angles: 90.00 90.00 90.00
Fractional positions:
1 Cr 0.000 0.000 0.000
2 In 0.500 0.500 0.500
3 N 0.000 0.000 0.500
4 N 0.000 0.500 0.000
5 N 0.500 0.000 0.000



Record 2
A geometry-optimized Cr2InNiN structure. Source: Alexandria, functional PBE.

abc: 3.908 3.908 4.026
angles: 90.00 90.00 90.00
Fractional positions:
1 Cr 0.000 0.500 0.000
2 Cr 0.500 0.000 0.000
3 In 0.000 0.000 0.500
4 Ni 0.500 0.500 0.500
5 N 0.500 0.500 0.000



Result set for energy: -33.84, -36.53 eV for the cell shown, one per record in the order listed.
Result set for formation energy (no corrections): 0.70, -0.09 eV/atom, one per record in the order listed.